# Li2DyMnO4 | the Alexandria database | PBE+U | optimized geometry
data_Li2DyMnO4
_chemical_formula_sum 'Li4 Dy2 Mn2 O8'
_cell_length_a 5.254
_cell_length_b 5.254
_cell_length_c 6.612
_cell_angle_alpha 90.00
_cell_angle_beta 90.00
_cell_angle_gamma 90.00
_space_group_name_H-M_alt 'I -4 2 m'
_space_group_IT_number 121
_space_group_name_Hall 'I -4 2'
loop_
_atom_site_label
_atom_site_type_symbol
_atom_site_fract_x
_atom_site_fract_y
_atom_site_fract_z
Li1 Li 0.000 0.500 0.250
Dy1 Dy 0.000 0.000 0.000
Mn1 Mn 0.000 0.000 0.500
O1 O 0.229 0.229 0.637
# - DFT total energy: -107.2 eV per cell